# LaPPt2 GGA-PBE optimized geometry
data_LaPPt2
_cell_length_a 9.2013
_cell_length_b 4.3253
_cell_length_c 4.4961
_cell_angle_alpha 90.00
_cell_angle_beta 100.01
_cell_angle_gamma 90.00
_symmetry_space_group_name_H-M 'C 1 m 1'
_symmetry_Int_Tables_number 8
_symmetry_space_group_name_Hall 'C -2y'
loop_
_atom_site_label
_atom_site_fract_x
_atom_site_fract_y
_atom_site_fract_z
La1 0.0000 0.0000 0.0000
P1 0.2265 0.0000 0.5960
Pt1 0.2493 0.5000 0.4125
Pt2 0.4601 0.0000 0.4634
# Formation energy: -908 meV per atom
# Crystal system: monoclinic
# M_tot: 0.0 μB/f.u.